Record 1
A plane-wave DFT calculation with PBE was carried out for SnSeBrF2 after structural relaxation.

Unit cell a=4.2319 b=6.3827 c=4.2319 alpha=90.00 beta=90.00 gamma=90.00
With the nearest neighbours (Å) after each atom.
Sites, in units of the cell vectors:
F1 0.0000 0.0000 0.5000  2 Br 2.12
F2 0.5000 0.0000 0.0000  2 Br 2.12
Sn1 0.0000 0.5000 0.0000  4 Se 2.99, 2 Br 3.19
Br1 0.0000 0.0000 0.0000  4 F 2.12
Se1 0.5000 0.5000 0.5000  4 Sn 2.99

Computed properties:
The uncorrected formation energy comes out at -428 meV/atom.



Record 2
A plane-wave DFT calculation with PBE was carried out for NpPdRuRh after structural relaxation.

Unit cell a=4.5603 b=4.5603 c=4.5603 alpha=60.00 beta=60.00 gamma=60.00
With the nearest neighbours (Å) after each atom.
Sites, in units of the cell vectors:
Pd1 0.5000 0.5000 0.5000  4 Ru 2.79, 4 Rh 2.79
Ru1 0.2500 0.2500 0.2500  4 Pd 2.79, 4 Np 2.79
Np1 0.0000 0.0000 0.0000  4 Ru 2.79, 4 Rh 2.79
Rh1 0.7500 0.7500 0.7500  4 Np 2.79, 4 Pd 2.79

Computed properties:
The value obtained for the formation energy is -0.15 eV per atom.



Record 3
A plane-wave DFT calculation with PBE was carried out for MgZr2Mo after structural relaxation.

Unit cell a=3.4488 b=3.4488 c=6.9535 alpha=90.00 beta=90.00 gamma=90.00
With the nearest neighbours (Å) after each atom.
Sites, in units of the cell vectors:
Mg1 0.5000 0.5000 0.2500  8 Zr 3.12, 4 Mg 3.45, 2 Mo 3.48
Mo1 0.5000 0.5000 0.7500  8 Zr 2.88
Zr1 0.0000 0.0000 0.5297  4 Mo 2.88, 1 Zr 3.06, 4 Mg 3.12
Zr2 0.0000 0.0000 0.9703  4 Mo 2.88, 1 Zr 3.06, 4 Mg 3.12

Computed properties:
Its energy above the most stable polymorph in this dataset is 0.0 kJ/mol of atoms. The value obtained for the formation energy is -0.02 eV per atom.



Record 4
A plane-wave DFT calculation with PBE was carried out for GaHgPbBr6 after structural relaxation.

Unit cell a=7.5880 b=7.5867 c=7.0055 alpha=83.92 beta=96.13 gamma=57.26
With the nearest neighbours (Å) after each atom.
Sites, in units of the cell vectors:
Br1 0.3917 0.9993 0.7347  1 Ga 2.51
Br2 0.6599 0.2942 0.7079  1 Hg 2.74, 1 Ga 2.75
Ga1 0.3167 0.3167 0.5000  6 Br 2.51-2.75
Hg1 0.0031 0.0036 0.0003  2 Br 2.74
Pb1 0.6781 0.6781 0.4998  6 Br 2.96-3.19
Br3 0.2939 0.6600 0.2922  1 Hg 2.74, 1 Ga 2.75
Br4 0.9994 0.3913 0.2652  1 Ga 2.51
Br5 0.5669 0.0900 0.2776  1 Ga 2.58
Br6 0.0900 0.5668 0.7223  1 Ga 2.58

Computed properties:
The uncorrected formation energy comes out at -618 meV/atom.



For reference, DOS(E_F) by record: 2.7, 7.6, 4.0, 2.6 states/eV per cell.